Record 1
KW2Cl at its PBEsol-relaxed geometry. Source: the Alexandria database, functional SCAN. Values from VASP.

Values from the calculation:
**Size of the total moment**: 0.0 μB per formula unit
**Uncorrected formation energy**: 1.658 eV/atom

Quantum ESPRESSO input file:
```
&SYSTEM
  ibrav = 0, nat = 4, ntyp = 3
/
ATOMIC_SPECIES
K 39.10 K.upf
W 183.84 W.upf
Cl 35.45 Cl.upf
CELL_PARAMETERS angstrom
-1.9373 1.8617 -0.4910
-1.4559 -0.9607 2.1018
4.6633 6.4866 6.1952
ATOMIC_POSITIONS angstrom
K 0.6351 3.6938 3.9030
W 3.7263 5.1832 4.9503
W 0.9371 1.3034 1.2449
Cl -1.6966 0.4505 0.8054
```

***

Record 2
KW2Cl at its PBEsol-relaxed geometry. Source: the Alexandria database, functional SCAN. Values from VASP.

Values from the calculation:
**Size of the total moment**: 0.0 μB per formula unit
**Uncorrected formation energy**: 3.060 eV/atom

Quantum ESPRESSO input file:
```
&SYSTEM
  ibrav = 0, nat = 4, ntyp = 3
/
ATOMIC_SPECIES
K 39.10 K.upf
W 183.84 W.upf
Cl 35.45 Cl.upf
CELL_PARAMETERS angstrom
-1.6332 -1.4524 4.0442
2.8382 -1.9011 3.0761
1.0623 2.2666 3.8556
ATOMIC_POSITIONS angstrom
K 1.1336 -0.5435 5.4879
W 0.5668 -0.2717 2.7440
W 1.7004 -0.8152 8.2319
Cl 0.0000 0.0000 0.0000
```